## w
# CoTe2Cl (GGA-PBE, relaxed)
data_CoTe2Cl
_symmetry_space_group_name_H-M 'P 4 m m'
_symmetry_Int_Tables_number 99
_cell_length_a 3.409
_cell_length_b 3.409
_cell_length_c 8.983
_cell_angle_alpha 90.00
_cell_angle_beta 90.00
_cell_angle_gamma 90.00
loop_
_symmetry_equiv_pos_as_xyz
'x,y,z'
'-y,x,z'
'-x,-y,z'
'y,-x,z'
'-x,y,z'
'y,x,z'
'x,-y,z'
'-y,-x,z'
loop_
_atom_site_label
_atom_site_type_symbol
_atom_site_fract_x
_atom_site_fract_y
_atom_site_fract_z
_atom_site_occupancy
Co1 Co 0.000 0.000 0.000 1
Te1 Te 0.000 0.000 0.275 1
Te2 Te 0.500 0.500 0.912 1
Cl1 Cl 0.500 0.500 0.640 1
# Total magnetic moment = 0.62 μB/cell

## x
# CoTe2Cl (GGA-PBE, relaxed)
data_CoTe2Cl
_symmetry_space_group_name_H-M 'R 3 m'
_symmetry_Int_Tables_number 160
_symmetry_space_group_name_Hall 'R 3 -2"'
_cell_length_a 3.5127
_cell_length_b 3.5127
_cell_length_c 27.5906
_cell_angle_alpha 90.00
_cell_angle_beta 90.00
_cell_angle_gamma 120.00
loop_
_atom_site_label
_atom_site_type_symbol
_atom_site_fract_x
_atom_site_fract_y
_atom_site_fract_z
_atom_site_occupancy
Co1 Co 0.0000 0.0000 0.0000 1
Te1 Te 0.0000 0.0000 0.2826 1
Te2 Te 0.0000 0.0000 0.5120 1
Cl1 Cl 0.0000 0.0000 0.7152 1
# Total magnetic moment = 0.30 μB/cell

Question: which arrangement is favored energetically? Ranking from most to least stable: x, w.

## w
# CoTe3Cl (GGA-PBE, relaxed)
data_CoTe3Cl
_symmetry_space_group_name_H-M 'P m -3 m'
_symmetry_Int_Tables_number 221
_symmetry_space_group_name_Hall '-P 4 2 3'
_cell_length_a 5.063
_cell_length_b 5.063
_cell_length_c 5.063
_cell_angle_alpha 90.00
_cell_angle_beta 90.00
_cell_angle_gamma 90.00
loop_
_atom_site_label
_atom_site_type_symbol
_atom_site_fract_x
_atom_site_fract_y
_atom_site_fract_z
_atom_site_occupancy
Co1 Co 0.000 0.000 0.000 1
Te1 Te 0.000 0.000 0.500 1
Cl1 Cl 0.500 0.500 0.500 1
# Total magnetic moment = 1.66 μB/cell

## x
# CoTe3Cl (GGA-PBE, relaxed)
data_CoTe3Cl
_symmetry_space_group_name_H-M 'C 1 2/c 1'
_symmetry_Int_Tables_number 15
_cell_length_a 10.095
_cell_length_b 16.665
_cell_length_c 6.610
_cell_angle_alpha 90.00
_cell_angle_beta 93.81
_cell_angle_gamma 90.00
loop_
_symmetry_equiv_pos_as_xyz
'x,y,z'
'-x,-y,-z'
'-x,y,-z+1/2'
'x,-y,z+1/2'
'x+1/2,y+1/2,z'
'-x+1/2,-y+1/2,-z'
'-x+1/2,y+1/2,-z+1/2'
'x+1/2,-y+1/2,z+1/2'
loop_
_atom_site_label
_atom_site_type_symbol
_atom_site_fract_x
_atom_site_fract_y
_atom_site_fract_z
_atom_site_occupancy
Co1 Co 0.000 0.059 0.250 1
Co2 Co 0.000 0.175 0.750 1
Te1 Te 0.122 0.282 0.963 1
Te2 Te 0.124 0.058 0.923 1
Te3 Te 0.132 0.167 0.435 1
Cl1 Cl 0.154 0.407 0.455 1
# Total magnetic moment = 0.00 μB/cell

Question: which arrangement is favored energetically? Ranking from most to least stable: x, w.

## w
# TiCo3Cl (GGA-PBE, relaxed)
data_TiCo3Cl
_symmetry_space_group_name_H-M 'P m -3 m'
_symmetry_Int_Tables_number 221
_symmetry_space_group_name_Hall '-P 4 2 3'
_cell_length_a 4.462
_cell_length_b 4.462
_cell_length_c 4.462
_cell_angle_alpha 90.00
_cell_angle_beta 90.00
_cell_angle_gamma 90.00
loop_
_atom_site_label
_atom_site_type_symbol
_atom_site_fract_x
_atom_site_fract_y
_atom_site_fract_z
_atom_site_occupancy
Ti1 Ti 0.000 0.000 0.000 1
Co1 Co 0.000 0.000 0.500 1
Cl1 Cl 0.500 0.500 0.500 1
# Total magnetic moment = 2.81 μB/cell

## x
# TiCo3Cl (GGA-PBE, relaxed)
data_TiCo3Cl
_symmetry_space_group_name_H-M 'P m -3 m'
_symmetry_Int_Tables_number 221
_symmetry_space_group_name_Hall '-P 4 2 3'
_cell_length_a 4.084
_cell_length_b 4.084
_cell_length_c 4.084
_cell_angle_alpha 90.00
_cell_angle_beta 90.00
_cell_angle_gamma 90.00
loop_
_atom_site_label
_atom_site_type_symbol
_atom_site_fract_x
_atom_site_fract_y
_atom_site_fract_z
_atom_site_occupancy
Ti1 Ti 0.000 0.000 0.000 1
Co1 Co 0.000 0.500 0.500 1
Cl1 Cl 0.500 0.500 0.500 1
# Total magnetic moment = 0.00 μB/cell

Question: which arrangement is favored energetically? Ranking from most to least stable: x, w.

## w
# TiCo2Cl2 (GGA-PBE, relaxed)
data_TiCo2Cl2
_symmetry_space_group_name_H-M 'P 4/m b m'
_symmetry_Int_Tables_number 127
_symmetry_space_group_name_Hall '-P 4 2ab'
_cell_length_a 6.693
_cell_length_b 6.693
_cell_length_c 3.073
_cell_angle_alpha 90.00
_cell_angle_beta 90.00
_cell_angle_gamma 90.00
loop_
_atom_site_label
_atom_site_type_symbol
_atom_site_fract_x
_atom_site_fract_y
_atom_site_fract_z
_atom_site_occupancy
Ti1 Ti 0.000 0.000 0.000 1
Co1 Co 0.140 0.360 0.500 1
Cl1 Cl 0.175 0.675 0.000 1
# Total magnetic moment = 4.11 μB/cell

## x
# TiCo2Cl2 (GGA-PBE, relaxed)
data_TiCo2Cl2
_symmetry_space_group_name_H-M 'I 4/m m m'
_symmetry_Int_Tables_number 139
_symmetry_space_group_name_Hall '-I 4 2'
_cell_length_a 3.121
_cell_length_b 3.121
_cell_length_c 21.864
_cell_angle_alpha 90.00
_cell_angle_beta 90.00
_cell_angle_gamma 90.00
loop_
_atom_site_label
_atom_site_type_symbol
_atom_site_fract_x
_atom_site_fract_y
_atom_site_fract_z
_atom_site_occupancy
Ti1 Ti 0.000 0.000 0.000 1
Co1 Co 0.000 0.500 0.250 1
Cl1 Cl 0.000 0.000 0.432 1
# Total magnetic moment = 8.23 μB/cell

Question: which arrangement is favored energetically? Ranking from most to least stable: x, w.

## w
# Ti2CoCl (GGA-PBE, relaxed)
data_Ti2CoCl
_symmetry_space_group_name_H-M 'F m -3 m'
_symmetry_Int_Tables_number 225
_symmetry_space_group_name_Hall '-F 4 2 3'
_cell_length_a 6.130
_cell_length_b 6.130
_cell_length_c 6.130
_cell_angle_alpha 90.00
_cell_angle_beta 90.00
_cell_angle_gamma 90.00
loop_
_atom_site_label
_atom_site_type_symbol
_atom_site_fract_x
_atom_site_fract_y
_atom_site_fract_z
_atom_site_occupancy
Ti1 Ti 0.250 0.250 0.250 1
Co1 Co 0.000 0.000 0.000 1
Cl1 Cl 0.000 0.000 0.500 1
# Total magnetic moment = 0.00 μB/cell

## x
# Ti2CoCl (GGA-PBE, relaxed)
data_Ti2CoCl
_symmetry_space_group_name_H-M 'I -4 2 d'
_symmetry_Int_Tables_number 122
_symmetry_space_group_name_Hall 'I -4 2bw'
_cell_length_a 6.335
_cell_length_b 6.335
_cell_length_c 6.415
_cell_angle_alpha 90.00
_cell_angle_beta 90.00
_cell_angle_gamma 90.00
loop_
_atom_site_label
_atom_site_type_symbol
_atom_site_fract_x
_atom_site_fract_y
_atom_site_fract_z
_atom_site_occupancy
Ti1 Ti 0.242 0.750 0.125 1
Co1 Co 0.000 0.000 0.000 1
Cl1 Cl 0.000 0.000 0.500 1
# Total magnetic moment = 0.00 μB/cell

Question: which arrangement is favored energetically? Ranking from most to least stable: x, w.

## w
# Ti2Co2Cl (GGA-PBE, relaxed)
data_Ti2Co2Cl
_symmetry_space_group_name_H-M 'P 4/m b m'
_symmetry_Int_Tables_number 127
_symmetry_space_group_name_Hall '-P 4 2ab'
_cell_length_a 6.940
_cell_length_b 6.940
_cell_length_c 3.017
_cell_angle_alpha 90.00
_cell_angle_beta 90.00
_cell_angle_gamma 90.00
loop_
_atom_site_label
_atom_site_type_symbol
_atom_site_fract_x
_atom_site_fract_y
_atom_site_fract_z
_atom_site_occupancy
Ti1 Ti 0.160 0.340 0.000 1
Co1 Co 0.127 0.627 0.500 1
Cl1 Cl 0.000 0.000 0.000 1
# Total magnetic moment = 0.00 μB/cell

## x
# Ti2Co2Cl (GGA-PBE, relaxed)
data_Ti2Co2Cl
_symmetry_space_group_name_H-M 'I 4/m m m'
_symmetry_Int_Tables_number 139
_symmetry_space_group_name_Hall '-I 4 2'
_cell_length_a 3.386
_cell_length_b 3.386
_cell_length_c 14.324
_cell_angle_alpha 90.00
_cell_angle_beta 90.00
_cell_angle_gamma 90.00
loop_
_atom_site_label
_atom_site_type_symbol
_atom_site_fract_x
_atom_site_fract_y
_atom_site_fract_z
_atom_site_occupancy
Ti1 Ti 0.000 0.000 0.134 1
Co1 Co 0.000 0.500 0.250 1
Cl1 Cl 0.000 0.000 0.500 1
# Total magnetic moment = 0.00 μB/cell

Question: which arrangement is favored energetically? Ranking from most to least stable: x, w.